Entry 1:
A geometry-optimized Ca2InSiGe structure, computed with PBE.

Summary:
space group = No. 123
uncorrected formation energy = 0.18 eV per atom
crystal system = tetragonal

abc: 5.652 5.652 5.172
angles: 90.00 90.00 90.00
Fractional positions:
Ca1 0.000 0.500 0.000
Ca2 0.500 0.000 0.000
In1 0.000 0.000 0.500
Si1 0.500 0.500 0.500
Ge1 0.000 0.000 0.000



Entry 2:
A geometry-optimized KCrN structure, computed with PBE.

Summary:
excess energy over the best structure of this formula in the dataset = 268 meV per atom
space group = No. 2
uncorrected formation energy = 0.02 eV per atom
crystal system = triclinic

abc: 3.081 6.071 6.710
angles: 76.29 76.75 89.63
Fractional positions:
K1 0.169 0.196 0.173
K2 0.831 0.804 0.827
Cr1 0.432 0.367 0.641
Cr2 0.568 0.633 0.359
N1 0.137 0.703 0.218
N2 0.863 0.297 0.782



Entry 3:
A geometry-optimized PrGdCo2 structure, computed with PBE.

Summary:
excess energy over the best structure of this formula in the dataset = 3 meV per atom
space group = No. 123
DFT formation energy = 3 meV per atom
crystal system = tetragonal

abc: 4.861 4.861 3.443
angles: 90.00 90.00 90.00
Fractional positions:
Pr1 0.000 0.000 0.000
Gd1 0.500 0.500 0.000
Co1 0.000 0.500 0.500
Co2 0.500 0.000 0.500